# 1
Here is MnHgRh2 after structural relaxation from the Alexandria database. Energies are from PBE-GGA.

Results
Formation energy from the elements: 0.13 eV/atom
Crystal system: tetragonal
Magnetic moment: 3.18 μB/f.u.
Volume: 15.97 Å³/atom

a = 2.8809 Å, b = 2.8809 Å, c = 7.6966 Å
α = 90.00°, β = 90.00°, γ = 90.00°
Space group P4mm (No. 99)
Unique sites:
Mn  0.0000  0.0000  0.0000 (multiplicity 1)
Hg  0.5000  0.5000  0.7210 (multiplicity 1)
Rh  0.0000  0.0000  0.4497 (multiplicity 1)
Rh  0.5000  0.5000  0.2170 (multiplicity 1)

# 2
Here is MnTlHg2Rh after structural relaxation from the Alexandria database. Energies are from PBE-GGA.

Results
Formation energy from the elements: 0.59 eV/atom
Crystal system: tetragonal
Magnetic moment: 4.94 μB/f.u.
Volume: 28.43 Å³/atom

a = 5.2387 Å, b = 5.2387 Å, c = 5.1792 Å
α = 90.00°, β = 90.00°, γ = 90.00°
Space group P4/mmm (No. 123)
Unique sites:
Mn  0.0000  0.0000  0.0000 (multiplicity 1)
Tl  0.5000  0.5000  0.0000 (multiplicity 1)
Hg  0.0000  0.5000  0.5000 (multiplicity 2)
Rh  0.5000  0.5000  0.5000 (multiplicity 1)

# 3
Here is MnHg2Ru after structural relaxation from the Alexandria database. Energies are from PBE-GGA.

Results
Formation energy from the elements: 0.45 eV/atom
Energy relative to the lowest polymorph listed for this composition: 0.706 eV/f.u.
Crystal system: orthorhombic
Magnetic moment: 4.89 μB/f.u.
Volume: 17.63 Å³/atom

a = 2.9894 Å, b = 4.0198 Å, c = 5.8697 Å
α = 90.00°, β = 90.00°, γ = 90.00°
Space group Pmmm (No. 47)
Unique sites:
Mn  0.0000  0.0000  0.0000 (multiplicity 1)
Hg  0.5000  0.5000  0.2508 (multiplicity 2)
Ru  0.0000  0.0000  0.5000 (multiplicity 1)

# 4
Here is Mn3HgRu after structural relaxation from the Alexandria database. Energies are from PBE-GGA.

Results
Formation energy from the elements: 1.02 eV/atom
Energy relative to the lowest polymorph listed for this composition: 0.000 eV/f.u.
Crystal system: cubic
Magnetic moment: 12.29 μB/f.u.
Volume: 21.76 Å³/atom

a = 4.7740 Å, b = 4.7740 Å, c = 4.7740 Å
α = 90.00°, β = 90.00°, γ = 90.00°
Space group Pm-3m (No. 221)
Unique sites:
Mn  0.0000  0.0000  0.5000 (multiplicity 3)
Hg  0.5000  0.5000  0.5000 (multiplicity 1)
Ru  0.0000  0.0000  0.0000 (multiplicity 1)